# 1
{
  "formula": "Sc3RuBr",
  "functional": "PBE",
  "state": "relaxed",
  "lattice_angstrom": [[-0.296, 2.676, 4.032], [-0.045, -4.041, 2.678], [4.839, 0.125, 0.272]],
  "species": ["Sc", "Sc", "Sc", "Ru", "Br"],
  "fractional_positions": [[0.000, 0.500, 0.000], [0.000, 0.000, 0.500], [0.500, 0.000, 0.000], [0.500, 0.500, 0.500], [0.000, 0.000, 0.000]],
  "formation_energy_uncorrected_ev_per_atom": 0.353,
  "energy_ev_per_atom": -5.636,
  "polymorph_energy_mev_per_atom": 534.2
}

---

# 2
{
  "formula": "Sr2NdAlS5",
  "functional": "PBE",
  "state": "relaxed",
  "lattice_angstrom": [[-0.687, 0.519, 3.912], [1.727, -9.103, -0.539], [12.125, 2.192, 1.838]],
  "species": ["Sr", "Sr", "Sr", "Sr", "Nd", "Nd", "Al", "Al", "S", "S", "S", "S", "S", "S", "S", "S", "S", "S"],
  "fractional_positions": [[0.879, 0.758, 0.829], [0.113, 0.226, 0.683], [0.121, 0.242, 0.329], [0.887, 0.774, 0.183], [0.793, 0.586, 0.530], [0.207, 0.414, 0.030], [0.555, 0.109, 0.927], [0.445, 0.891, 0.427], [0.357, 0.713, 0.009], [0.675, 0.351, 0.870], [0.497, 0.993, 0.771], [0.295, 0.590, 0.683], [0.961, 0.921, 0.524], [0.643, 0.287, 0.509], [0.325, 0.649, 0.370], [0.503, 0.007, 0.271], [0.705, 0.410, 0.183], [0.039, 0.079, 0.024]],
  "formation_energy_uncorrected_ev_per_atom": -1.828,
  "energy_ev_per_atom": -5.440
}

---

# 3
{
  "formula": "LaTe2F",
  "functional": "PBE",
  "state": "relaxed",
  "lattice_angstrom": [[1.714, 5.151, 0.582], [2.955, 1.683, 4.272], [5.249, 1.448, -0.405]],
  "species": ["F", "Te", "Te", "La"],
  "fractional_positions": [[0.500, 0.500, 0.500], [0.763, 0.763, 0.763], [0.237, 0.237, 0.237], [0.000, 0.000, 0.000]],
  "formation_energy_uncorrected_ev_per_atom": -1.176,
  "energy_ev_per_atom": -4.446,
  "polymorph_energy_mev_per_atom": 221.5
}

---

# 4
{
  "formula": "Cs2NaCdIn",
  "functional": "PBE",
  "state": "relaxed",
  "lattice_angstrom": [[-5.989, -4.076, 1.689], [-1.498, -0.801, -7.242], [3.139, -4.668, -0.133]],
  "species": ["Cs", "Cs", "Na", "Cd", "In"],
  "fractional_positions": [[0.000, 0.500, 0.000], [0.500, 0.000, 0.000], [0.500, 0.500, 0.500], [0.000, 0.000, 0.000], [0.000, 0.000, 0.500]],
  "formation_energy_mev_per_atom": 116,
  "energy_ev_per_atom": -1.220
}

---

# 5
{
  "formula": "NaZr",
  "functional": "PBE",
  "state": "relaxed",
  "lattice_angstrom": [[3.032, 0.000, 0.000], [-1.516, 2.626, 0.000], [0.000, 0.000, 12.804]],
  "species": ["Na", "Na", "Zr", "Zr"],
  "fractional_positions": [[0.333, 0.667, 0.413], [0.667, 0.333, 0.913], [0.333, 0.667, 0.669], [0.667, 0.333, 0.169]],
  "formation_energy_mev_per_atom": 472,
  "energy_ev_per_atom": -4.461,
  "polymorph_energy_mev_per_atom": 289.6
}

---

# 6
{
  "formula": "Pm2Pr2Tm5",
  "functional": "PBE",
  "state": "relaxed",
  "lattice_angstrom": [[-2.298, 2.622, 0.224], [-2.683, -2.975, 7.261], [10.433, 6.879, -0.683]],
  "species": ["Pm", "Pm", "Pr", "Pr", "Tm", "Tm", "Tm", "Tm", "Tm"],
  "fractional_positions": [[0.545, 0.737, 0.091], [0.455, 0.263, 0.909], [0.815, 0.773, 0.630], [0.185, 0.227, 0.370], [0.690, 0.856, 0.381], [0.310, 0.144, 0.619], [0.900, 0.537, 0.800], [0.100, 0.463, 0.200], [0.000, 0.000, 0.000]],
  "formation_energy_mev_per_atom": 234,
  "energy_ev_per_atom": -4.368,
  "polymorph_energy_mev_per_atom": 29.1
}